DFT (PBE) results for a relaxed structure of K2TaAl.

Unit cell a=2.927 b=6.317 c=5.496 alpha=90.00 beta=91.86 gamma=90.00
Fractional positions:
K  0.242  0.000  0.246
K  0.758  0.000  0.754
Ta  0.000  0.500  0.500
Al  0.500  0.500  0.000

Total magnetic moment   0.174 μB per atom
Uncorrected energy   -13.75 eV/f.u.
Calculated formation energy   1009 meV/atom